1.
VASP calculation (SCAN) on a crystal of Cd2GaHg relaxed with PBEsol.

Output
**Fermi-level density of states**: 1.3 states/eV/f.u.
**Space group**: Fm-3m (225)
**Density**: 9.78 g/cm³
**Polymorph energy (0 for the lowest one)**: 2 meV per atom
**Size of the total moment**: 0.0 μB/f.u.
**ΔH_f (0 K)**: 112 meV/atom

Structure (POSCAR):
```
Cd2GaHg
1.0
0.0000 3.4764 3.4764
3.4764 0.0000 3.4764
3.4764 3.4764 0.0000
Cd Ga Hg
2 1 1
Direct
0.2500 0.2500 0.2500
0.7500 0.7500 0.7500
0.0000 0.0000 0.0000
0.5000 0.5000 0.5000
```

=====

2.
VASP calculation (SCAN) on a crystal of CdGa2Hg2 relaxed with PBEsol.

Output
**Fermi-level density of states**: 1.9 states/eV/f.u.
**Space group**: P4/mbm (127)
**Density**: 10.04 g/cm³
**Polymorph energy (0 for the lowest one)**: 32 meV per atom
**Size of the total moment**: 0.0 μB/f.u.
**ΔH_f (0 K)**: 157 meV/atom

Structure (POSCAR):
```
CdGa2Hg2
1.0
8.1415 0.0000 0.0000
0.0000 8.1415 0.0000
0.0000 0.0000 3.2591
Cd Ga Hg
2 4 4
Direct
0.0000 0.0000 0.0000
0.5000 0.5000 0.0000
0.1261 0.3739 0.5000
0.3739 0.8739 0.5000
0.6261 0.1261 0.5000
0.8739 0.6261 0.5000
0.1728 0.6728 0.0000
0.3272 0.1728 0.0000
0.6728 0.8272 0.0000
0.8272 0.3272 0.0000
```

=====

3.
VASP calculation (SCAN) on a crystal of Cd2GaHg relaxed with PBEsol.

Output
**Fermi-level density of states**: 1.4 states/eV/f.u.
**Space group**: I-42d (122)
**Density**: 9.18 g/cm³
**Polymorph energy (0 for the lowest one)**: 0 meV per atom
**Size of the total moment**: 0.0 μB/f.u.
**ΔH_f (0 K)**: 109 meV/atom

Structure (POSCAR):
```
Cd2GaHg
1.0
-3.9695 3.9695 2.8426
3.9695 -3.9695 2.8426
3.9695 3.9695 -2.8426
Cd Ga Hg
4 2 2
Direct
0.1106 0.1250 0.4856
0.3750 0.8894 0.0144
0.6394 0.6250 0.5144
0.8750 0.3606 0.9856
0.0000 0.0000 0.0000
0.7500 0.2500 0.5000
0.2500 0.7500 0.5000
0.5000 0.5000 0.0000
```

=====

4.
VASP calculation (SCAN) on a crystal of Cd2Ga2Hg relaxed with PBEsol.

Output
**Fermi-level density of states**: 1.8 states/eV/f.u.
**Space group**: P4/mbm (127)
**Density**: 8.91 g/cm³
**Polymorph energy (0 for the lowest one)**: 6 meV per atom
**Size of the total moment**: 0.0 μB/f.u.
**ΔH_f (0 K)**: 96 meV/atom

Structure (POSCAR):
```
Cd2Ga2Hg
1.0
8.4525 0.0000 0.0000
0.0000 8.4525 0.0000
0.0000 0.0000 2.9469
Cd Ga Hg
4 4 2
Direct
0.1790 0.3210 0.0000
0.3210 0.8210 0.0000
0.6790 0.1790 0.0000
0.8210 0.6790 0.0000
0.1181 0.6181 0.5000
0.3819 0.1181 0.5000
0.6181 0.8819 0.5000
0.8819 0.3819 0.5000
0.0000 0.0000 0.0000
0.5000 0.5000 0.0000
```

=====

5.
VASP calculation (SCAN) on a crystal of CdGa2Hg2 relaxed with PBEsol.

Output
**Fermi-level density of states**: 2.0 states/eV/f.u.
**Space group**: I4/mmm (139)
**Density**: 10.01 g/cm³
**Polymorph energy (0 for the lowest one)**: 0 meV per atom
**Size of the total moment**: 0.0 μB/f.u.
**ΔH_f (0 K)**: 125 meV/atom

Structure (POSCAR):
```
CdGa2Hg2
1.0
-1.8617 1.8617 7.8123
1.8617 -1.8617 7.8123
1.8617 1.8617 -7.8123
Cd Ga Hg
1 2 2
Direct
0.0000 0.0000 0.0000
0.2500 0.7500 0.5000
0.7500 0.2500 0.5000
0.4001 0.4001 0.0000
0.5999 0.5999 0.0000
```

=====

6.
VASP calculation (SCAN) on a crystal of CdGaI2N relaxed with PBEsol.

Output
**Uncorrected formation energy**: 0.440 eV per atom
**Fermi-level density of states**: 0.2 states/eV/f.u.
**Space group**: P4/mmm (123)
**Density**: 4.97 g/cm³
**Size of the total moment**: 2.0 μB/f.u.

Structure (POSCAR):
```
CdGaI2N
1.0
5.9634 0.0000 0.0000
0.0000 5.9634 0.0000
0.0000 0.0000 4.2246
Cd Ga I N
1 1 2 1
Direct
0.0000 0.0000 0.0000
0.5000 0.5000 0.5000
0.0000 0.5000 0.0000
0.5000 0.0000 0.0000
0.0000 0.0000 0.5000
```